TmScNO, optimized geometry, DFT PBE; raw total energy = -8.000 eV per atom
1.0
-0.489 1.186 -2.719
-2.957 -0.619 0.262
0.883 4.716 3.561
Tm Sc N O
1 1 1 1
Cartesian
-0.781 3.786 0.130 Tm
-0.133 0.793 0.370 Sc
-1.995 1.902 -0.474 N
-2.182 3.877 2.084 O